# Na2W3Cl9 (PBE, optimized geometry)
# Final energy (eV per formula unit): -71.7
# Formation energy from raw total energies (eV per atom): -0.973
# Space group: C2/m
data_Na2W3Cl9
_chemical_formula_sum 'Na4 W6 Cl18'
_cell_length_a 9.3178
_cell_length_b 9.3178
_cell_length_c 9.2466
_cell_angle_alpha 101.52
_cell_angle_beta 101.52
_cell_angle_gamma 116.96
_symmetry_space_group_name_H-M 'P 1'
_symmetry_Int_Tables_number 1
_symmetry_space_group_name_Hall 'P 1'
loop_
_atom_site_label
_atom_site_type_symbol
_atom_site_fract_x
_atom_site_fract_y
_atom_site_fract_z
Na1 Na 0.0495 0.7267 0.6655
Na2 Na 0.2733 0.9505 0.3345
Na3 Na 0.7267 0.0495 0.6655
Na4 Na 0.9505 0.2733 0.3345
W1 W 0.2697 0.4331 0.8473
W2 W 0.3677 0.3677 0.1028
W3 W 0.4331 0.2697 0.8473
W4 W 0.5669 0.7303 0.1527
W5 W 0.6323 0.6323 0.8972
W6 W 0.7303 0.5669 0.1527
Cl1 Cl 0.0052 0.6032 0.3355
Cl2 Cl 0.0664 0.2840 0.9713
Cl3 Cl 0.1599 0.1599 0.6508
Cl4 Cl 0.2090 0.2090 0.2731
Cl5 Cl 0.2840 0.0664 0.9713
Cl6 Cl 0.2967 0.7033 0.0000
Cl7 Cl 0.3944 0.6007 0.6888
Cl8 Cl 0.3968 0.9948 0.6645
Cl9 Cl 0.3993 0.6056 0.3112
Cl10 Cl 0.6007 0.3944 0.6888
Cl11 Cl 0.6032 0.0052 0.3355
Cl12 Cl 0.6056 0.3993 0.3112
Cl13 Cl 0.7033 0.2967 0.0000
Cl14 Cl 0.7160 0.9336 0.0287
Cl15 Cl 0.7910 0.7910 0.7269
Cl16 Cl 0.8401 0.8401 0.3492
Cl17 Cl 0.9336 0.7160 0.0287
Cl18 Cl 0.9948 0.3968 0.6645

***

# TiZn2Sn2 (PBE, optimized geometry)
# Relative energy among the computed polymorphs (meV per atom): 84
# Final energy (eV per formula unit): -17.6
# Space group: P4/mbm
data_TiZn2Sn2
_chemical_formula_sum 'Ti2 Zn4 Sn4'
_cell_length_a 7.5624
_cell_length_b 7.5624
_cell_length_c 3.6074
_cell_angle_alpha 90.00
_cell_angle_beta 90.00
_cell_angle_gamma 90.00
_symmetry_space_group_name_H-M 'P 1'
_symmetry_Int_Tables_number 1
_symmetry_space_group_name_Hall 'P 1'
loop_
_atom_site_label
_atom_site_type_symbol
_atom_site_fract_x
_atom_site_fract_y
_atom_site_fract_z
Ti1 Ti 0.0000 0.0000 0.0000
Ti2 Ti 0.5000 0.5000 0.0000
Zn1 Zn 0.1398 0.3602 0.5000
Zn2 Zn 0.3602 0.8602 0.5000
Zn3 Zn 0.6398 0.1398 0.5000
Zn4 Zn 0.8602 0.6398 0.5000
Sn1 Sn 0.1611 0.6611 0.0000
Sn2 Sn 0.3389 0.1611 0.0000
Sn3 Sn 0.6611 0.8389 0.0000
Sn4 Sn 0.8389 0.3389 0.0000

***

# TiGe2MoPb (PBE, optimized geometry)
# Final energy (eV per formula unit): -22.4
# Space group: P4/mmm
data_TiGe2MoPb
_chemical_formula_sum 'Ti1 Ge2 Mo1 Pb1'
_cell_length_a 5.2682
_cell_length_b 5.2682
_cell_length_c 5.2411
_cell_angle_alpha 90.00
_cell_angle_beta 90.00
_cell_angle_gamma 90.00
_symmetry_space_group_name_H-M 'P 1'
_symmetry_Int_Tables_number 1
_symmetry_space_group_name_Hall 'P 1'
loop_
_atom_site_label
_atom_site_type_symbol
_atom_site_fract_x
_atom_site_fract_y
_atom_site_fract_z
Ti1 Ti 0.0000 0.0000 0.0000
Ge1 Ge 0.0000 0.5000 0.5000
Ge2 Ge 0.5000 0.0000 0.5000
Mo1 Mo 0.5000 0.5000 0.0000
Pb1 Pb 0.5000 0.5000 0.5000

***

# Na2Tl4HgPb2 (PBE, optimized geometry)
# Final energy (eV per formula unit): -19.9
# Space group: P3m1
data_Na2Tl4HgPb2
_chemical_formula_sum 'Na2 Tl4 Hg1 Pb2'
_cell_length_a 3.4959
_cell_length_b 3.4959
_cell_length_c 25.3605
_cell_angle_alpha 90.00
_cell_angle_beta 90.00
_cell_angle_gamma 120.00
_symmetry_space_group_name_H-M 'P 1'
_symmetry_Int_Tables_number 1
_symmetry_space_group_name_Hall 'P 1'
loop_
_atom_site_label
_atom_site_type_symbol
_atom_site_fract_x
_atom_site_fract_y
_atom_site_fract_z
Na1 Na 0.0000 0.0000 0.0000
Na2 Na 0.3333 0.6667 0.3219
Tl1 Tl 0.0000 0.0000 0.2148
Tl2 Tl 0.0000 0.0000 0.4318
Tl3 Tl 0.3333 0.6667 0.1072
Tl4 Tl 0.3333 0.6667 0.8905
Hg1 Hg 0.3333 0.6667 0.6684
Pb1 Pb 0.0000 0.0000 0.5613
Pb2 Pb 0.0000 0.0000 0.7772

***

# YMg9Ag2 (PBE, optimized geometry)
# Final energy (eV per formula unit): -27.7
# Space group: I4_1/amd
data_YMg9Ag2
_chemical_formula_sum 'Y2 Mg18 Ag4'
_cell_length_a 9.2388
_cell_length_b 9.2388
_cell_length_c 9.2388
_cell_angle_alpha 99.64
_cell_angle_beta 99.64
_cell_angle_gamma 131.69
_symmetry_space_group_name_H-M 'P 1'
_symmetry_Int_Tables_number 1
_symmetry_space_group_name_Hall 'P 1'
loop_
_atom_site_label
_atom_site_type_symbol
_atom_site_fract_x
_atom_site_fract_y
_atom_site_fract_z
Y1 Y 0.3750 0.6250 0.7500
Y2 Y 0.6250 0.3750 0.2500
Mg1 Mg 0.1250 0.8750 0.2500
Mg2 Mg 0.1288 0.5586 0.3272
Mg3 Mg 0.1288 0.8016 0.5702
Mg4 Mg 0.1984 0.2685 0.3272
Mg5 Mg 0.1984 0.8712 0.9298
Mg6 Mg 0.2685 0.1984 0.8272
Mg7 Mg 0.2685 0.4414 0.0702
Mg8 Mg 0.4414 0.2685 0.5702
Mg9 Mg 0.4414 0.8712 0.1728
Mg10 Mg 0.5586 0.1288 0.8272
Mg11 Mg 0.5586 0.7315 0.4298
Mg12 Mg 0.7315 0.5586 0.9298
Mg13 Mg 0.7315 0.8016 0.1728
Mg14 Mg 0.8016 0.1288 0.0702
Mg15 Mg 0.8016 0.7315 0.6728
Mg16 Mg 0.8712 0.1984 0.4298
Mg17 Mg 0.8712 0.4414 0.6728
Mg18 Mg 0.8750 0.1250 0.7500
Ag1 Ag 0.0000 0.0000 0.0000
Ag2 Ag 0.0000 0.0000 0.5000
Ag3 Ag 0.0000 0.5000 0.0000
Ag4 Ag 0.5000 0.0000 0.5000

***

# DyYMg2Au4 (PBE, optimized geometry)
# Final energy (eV per formula unit): -33.6
# Space group: R-3m
data_DyYMg2Au4
_chemical_formula_sum 'Dy1 Y1 Mg2 Au4'
_cell_length_a 8.4629
_cell_length_b 8.4629
_cell_length_c 8.4629
_cell_angle_alpha 33.82
_cell_angle_beta 33.82
_cell_angle_gamma 33.82
_symmetry_space_group_name_H-M 'P 1'
_symmetry_Int_Tables_number 1
_symmetry_space_group_name_Hall 'P 1'
loop_
_atom_site_label
_atom_site_type_symbol
_atom_site_fract_x
_atom_site_fract_y
_atom_site_fract_z
Dy1 Dy 0.0000 0.0000 0.0000
Y1 Y 0.5000 0.5000 0.5000
Mg1 Mg 0.2499 0.2499 0.2499
Mg2 Mg 0.7501 0.7501 0.7501
Au1 Au 0.1252 0.1252 0.1252
Au2 Au 0.3738 0.3738 0.3738
Au3 Au 0.6262 0.6262 0.6262
Au4 Au 0.8748 0.8748 0.8748

***

# Cd3ClF5 (PBE, optimized geometry)
# Relative energy among the computed polymorphs (meV per atom): 23
# Final energy (eV per formula unit): -31.7
# Formation energy from raw total energies (eV per atom): -1.971
# Space group: C2/m
data_Cd3ClF5
_chemical_formula_sum 'Cd6 Cl2 F10'
_cell_length_a 6.5355
_cell_length_b 6.5355
_cell_length_c 8.6146
_cell_angle_alpha 108.78
_cell_angle_beta 108.78
_cell_angle_gamma 68.22
_symmetry_space_group_name_H-M 'P 1'
_symmetry_Int_Tables_number 1
_symmetry_space_group_name_Hall 'P 1'
loop_
_atom_site_label
_atom_site_type_symbol
_atom_site_fract_x
_atom_site_fract_y
_atom_site_fract_z
Cd1 Cd 0.0000 0.0000 0.0000
Cd2 Cd 0.0000 0.0000 0.5000
Cd3 Cd 0.3295 0.3295 0.3303
Cd4 Cd 0.3608 0.3608 0.8084
Cd5 Cd 0.6392 0.6392 0.1916
Cd6 Cd 0.6705 0.6705 0.6697
Cl1 Cl 0.1246 0.1246 0.8110
Cl2 Cl 0.8754 0.8754 0.1890
F1 F 0.0356 0.6501 0.8188
F2 F 0.2331 0.2331 0.5269
F3 F 0.3137 0.6863 0.5000
F4 F 0.3499 0.9644 0.1812
F5 F 0.4221 0.4221 0.1230
F6 F 0.5779 0.5779 0.8770
F7 F 0.6501 0.0356 0.8188
F8 F 0.6863 0.3137 0.5000
F9 F 0.7669 0.7669 0.4731
F10 F 0.9644 0.3499 0.1812

***

# Li3PaN3 (PBE, optimized geometry)
# Relative energy among the computed polymorphs (meV per atom): 0
# Final energy (eV per formula unit): -46.5
# Formation energy from raw total energies (eV per atom): -0.905
# Space group: Pm-3m
data_Li3PaN3
_chemical_formula_sum 'Li3 Pa1 N3'
_cell_length_a 4.4689
_cell_length_b 4.4689
_cell_length_c 4.4689
_cell_angle_alpha 90.00
_cell_angle_beta 90.00
_cell_angle_gamma 90.00
_symmetry_space_group_name_H-M 'P 1'
_symmetry_Int_Tables_number 1
_symmetry_space_group_name_Hall 'P 1'
loop_
_atom_site_label
_atom_site_type_symbol
_atom_site_fract_x
_atom_site_fract_y
_atom_site_fract_z
Li1 Li 0.0000 0.0000 0.5000
Li2 Li 0.0000 0.5000 0.0000
Li3 Li 0.5000 0.0000 0.0000
Pa1 Pa 0.5000 0.5000 0.5000
N1 N 0.0000 0.5000 0.5000
N2 N 0.5000 0.0000 0.5000
N3 N 0.5000 0.5000 0.0000

***

# CdTcNi (PBE, optimized geometry)
# Relative energy among the computed polymorphs (meV per atom): 165
# Final energy (eV per formula unit): -16.3
# Space group: P3m1
data_CdTcNi
_chemical_formula_sum 'Cd1 Tc1 Ni1'
_cell_length_a 2.7820
_cell_length_b 2.7820
_cell_length_c 6.7952
_cell_angle_alpha 90.00
_cell_angle_beta 90.00
_cell_angle_gamma 120.00
_symmetry_space_group_name_H-M 'P 1'
_symmetry_Int_Tables_number 1
_symmetry_space_group_name_Hall 'P 1'
loop_
_atom_site_label
_atom_site_type_symbol
_atom_site_fract_x
_atom_site_fract_y
_atom_site_fract_z
Cd1 Cd 0.0000 0.0000 0.0000
Tc1 Tc 0.3333 0.6667 0.6257
Ni1 Ni 0.6667 0.3333 0.3393

***

# RbSb3Br (PBE, optimized geometry)
# Final energy (eV per formula unit): -12.6
# Formation energy from raw total energies (eV per atom): 0.486
# Space group: Pm-3m
data_RbSb3Br
_chemical_formula_sum 'Rb1 Sb3 Br1'
_cell_length_a 5.7486
_cell_length_b 5.7486
_cell_length_c 5.7486
_cell_angle_alpha 90.00
_cell_angle_beta 90.00
_cell_angle_gamma 90.00
_symmetry_space_group_name_H-M 'P 1'
_symmetry_Int_Tables_number 1
_symmetry_space_group_name_Hall 'P 1'
loop_
_atom_site_label
_atom_site_type_symbol
_atom_site_fract_x
_atom_site_fract_y
_atom_site_fract_z
Rb1 Rb 0.0000 0.0000 0.0000
Sb1 Sb 0.0000 0.5000 0.5000
Sb2 Sb 0.5000 0.0000 0.5000
Sb3 Sb 0.5000 0.5000 0.0000
Br1 Br 0.5000 0.5000 0.5000

***

# Sc2TaAg (PBE, optimized geometry)
# Relative energy among the computed polymorphs (meV per atom): 663
# Final energy (eV per formula unit): -24.9
# Space group: I-42d
data_Sc2TaAg
_chemical_formula_sum 'Sc4 Ta2 Ag2'
_cell_length_a 10.2684
_cell_length_b 10.2684
_cell_length_c 10.2684
_cell_angle_alpha 156.66
_cell_angle_beta 156.66
_cell_angle_gamma 33.24
_symmetry_space_group_name_H-M 'P 1'
_symmetry_Int_Tables_number 1
_symmetry_space_group_name_Hall 'P 1'
loop_
_atom_site_label
_atom_site_type_symbol
_atom_site_fract_x
_atom_site_fract_y
_atom_site_fract_z
Sc1 Sc 0.1219 0.6250 0.9969
Sc2 Sc 0.3750 0.3719 0.4969
Sc3 Sc 0.6281 0.1250 0.0031
Sc4 Sc 0.8750 0.8781 0.5031
Ta1 Ta 0.0000 0.0000 0.0000
Ta2 Ta 0.7500 0.2500 0.5000
Ag1 Ag 0.2500 0.7500 0.5000
Ag2 Ag 0.5000 0.5000 0.0000

***

# Li2Mg2Ni15 (PBE, optimized geometry)
# Final energy (eV per formula unit): -94.4
# Space group: R-3m
data_Li2Mg2Ni15
_chemical_formula_sum 'Li2 Mg2 Ni15'
_cell_length_a 6.2001
_cell_length_b 6.2001
_cell_length_c 6.2001
_cell_angle_alpha 82.77
_cell_angle_beta 82.77
_cell_angle_gamma 82.77
_symmetry_space_group_name_H-M 'P 1'
_symmetry_Int_Tables_number 1
_symmetry_space_group_name_Hall 'P 1'
loop_
_atom_site_label
_atom_site_type_symbol
_atom_site_fract_x
_atom_site_fract_y
_atom_site_fract_z
Li1 Li 0.0988 0.0988 0.0988
Li2 Li 0.9012 0.9012 0.9012
Mg1 Mg 0.3471 0.3471 0.3471
Mg2 Mg 0.6529 0.6529 0.6529
Ni1 Ni 0.0000 0.0000 0.5000
Ni2 Ni 0.0000 0.3094 0.6906
Ni3 Ni 0.0000 0.5000 0.0000
Ni4 Ni 0.0000 0.6906 0.3094
Ni5 Ni 0.1610 0.6541 0.6541
Ni6 Ni 0.3094 0.0000 0.6906
Ni7 Ni 0.3094 0.6906 0.0000
Ni8 Ni 0.3459 0.3459 0.8390
Ni9 Ni 0.3459 0.8390 0.3459
Ni10 Ni 0.5000 0.0000 0.0000
Ni11 Ni 0.6541 0.1610 0.6541
Ni12 Ni 0.6541 0.6541 0.1610
Ni13 Ni 0.6906 0.0000 0.3094
Ni14 Ni 0.6906 0.3094 0.0000
Ni15 Ni 0.8390 0.3459 0.3459